1.
Zr2CrCuH | PBE-GGA | optimized geometry

## Properties
V	14.22	A^3/atom
E_tot	-34.50	eV for the cell shown

abc: 4.5516 4.5516 3.4330
angles: 90.00 90.00 90.00
Sites, in units of the cell vectors:
Cr1 0.0000 0.0000 0.5000
Cu1 0.5000 0.5000 0.5000
Zr1 0.0000 0.5000 0.0000
Zr2 0.5000 0.0000 0.0000
H1 0.0000 0.0000 0.0000

---

2.
HfCrCu2 | PBE-GGA | optimized geometry

## Properties
V	15.91	A^3/atom
ΔE_f	0.537	eV/atom
relative energy among the computed polymorphs	0.437	eV per atom

abc: 3.6851 3.6851 9.7260
angles: 79.08 79.08 90.00
Last column: magnetic moment on the atom in μB.
Sites, in units of the cell vectors:
Cr1 0.5000 0.5000 0.0000  2.43
Cr2 0.2500 0.7500 0.5000  2.43
Hf1 0.0000 0.0000 0.0000  -0.14
Hf2 0.7500 0.2500 0.5000  -0.14
Cu1 0.6000 0.1250 0.2500  0.03
Cu2 0.1500 0.6250 0.2500  0.03
Cu3 0.3750 0.4000 0.7500  0.03
Cu4 0.8750 0.8500 0.7500  0.03

---

3.
HfCrCu3 | PBE-GGA | optimized geometry

## Properties
V	16.59	A^3/atom
ΔE_f	0.995	eV/atom
relative energy among the computed polymorphs	0.000	eV per atom

abc: 4.3608 4.3608 4.3608
angles: 90.00 90.00 90.00
Sites, in units of the cell vectors:
Cr1 0.0000 0.0000 0.0000
Hf1 0.5000 0.5000 0.5000
Cu1 0.0000 0.5000 0.0000
Cu2 0.0000 0.0000 0.5000
Cu3 0.5000 0.0000 0.0000